Entry 1:
Entry from the Alexandria database: a relaxed structure of KPSe4 (GGA-PBE).

Results
The calculation puts the uncorrected formation energy at -341 meV/atom. Its symmetry is Ama2. The polymorph energy (0 for the lowest one) comes out at 0 meV/atom.

a b c (Å): 6.6648 6.6648 8.6113
angles (deg): 90.00 90.00 75.62
Closest atoms and distances in Å follow each position.
Element x y z (fractional)
P (0.5875, 0.5737, 0.2500)  4 Se 2.19-2.36
P (0.4263, 0.4125, 0.7500)  4 Se 2.19-2.36
Se (0.8758, 0.3292, 0.2500)  1 P 2.19
Se (0.1897, 0.4350, 0.9410)  1 P 2.26
Se (0.5650, 0.8103, 0.0590)  1 P 2.26
Se (0.5650, 0.8103, 0.4410)  1 P 2.26
Se (0.1897, 0.4350, 0.5590)  1 P 2.26
Se (0.6708, 0.1242, 0.7500)  1 P 2.19
Se (0.2831, 0.4536, 0.2500)  1 P 2.36
Se (0.5464, 0.7169, 0.7500)  1 P 2.36
K (0.0504, 0.9496, 0.0000)  6 Se 3.31-3.62
K (0.0504, 0.9496, 0.5000)  6 Se 3.31-3.62


Entry 2:
Entry from the Alexandria database: a relaxed structure of CaSi3Pd9 (GGA-PBE).

Results
The calculation puts the uncorrected formation energy at -584 meV/atom. Its symmetry is C2/m.

a b c (Å): 5.1992 6.3626 7.0625
angles (deg): 83.26 68.40 71.41
Closest atoms and distances in Å follow each position.
Element x y z (fractional)
Ca (0.0000, 0.0000, 0.0000)  14 Pd 3.07-3.33, 2 Si 3.41
Pd (0.4638, 0.7742, 0.2204)  3 Si 2.39-2.67
Pd (0.5362, 0.2258, 0.7796)  3 Si 2.39-2.67
Pd (0.3158, 0.2258, 0.2204)  3 Si 2.39-2.67
Pd (0.0000, 0.5000, 0.0000)  2 Si 2.60, 8 Pd 2.75-2.82
Pd (0.7013, 0.3159, 0.3659)  2 Si 2.45-2.49
Pd (0.0672, 0.3159, 0.6341)  2 Si 2.45-2.49
Pd (0.6842, 0.7742, 0.7796)  3 Si 2.39-2.67
Pd (0.9328, 0.6841, 0.3659)  2 Si 2.45-2.49
Pd (0.2987, 0.6841, 0.6341)  2 Si 2.45-2.49
Si (0.5000, 0.0000, 0.5000)  8 Pd 2.45-2.67, 2 Si 2.60
Si (0.5000, 0.5000, 0.0000)  6 Pd 2.39-2.60
Si (0.0000, 0.0000, 0.5000)  8 Pd 2.45-2.67, 2 Si 2.60


Entry 3:
Entry from the Alexandria database: a relaxed structure of La2ZrGe4Pd3 (GGA-PBE).

Results
Its symmetry is P-4m2. As for the formation energy: -19.430 kcal/mol of atoms.

a b c (Å): 4.3376 4.3376 11.0487
angles (deg): 90.00 90.00 90.00
Closest atoms and distances in Å follow each position.
Element x y z (fractional)
Ge (0.5000, 0.0000, 0.6489)  3 Pd 2.54-2.72, 2 Zr 2.72
Ge (0.0000, 0.0000, 0.0000)  4 Pd 2.55
Ge (0.5000, 0.5000, 0.0000)  4 Pd 2.55
Ge (0.0000, 0.5000, 0.3511)  3 Pd 2.54-2.72, 2 Zr 2.72
Pd (0.5000, 0.0000, 0.8783)  5 Ge 2.54-2.55
Pd (0.0000, 0.0000, 0.5000)  4 Ge 2.72
Pd (0.0000, 0.5000, 0.1217)  5 Ge 2.54-2.55
La (0.0000, 0.5000, 0.7674)  6 Pd 3.30-3.66, 8 Ge 3.33-3.36, 2 Zr 3.66
La (0.5000, 0.0000, 0.2326)  6 Pd 3.30-3.66, 8 Ge 3.33-3.36, 2 Zr 3.66
Zr (0.5000, 0.5000, 0.5000)  4 Ge 2.72


Entry 4:
Entry from the Alexandria database: a relaxed structure of NbPAu3 (GGA-PBE).

Results
Its symmetry is Pm-3m. The polymorph energy (0 for the lowest one) comes out at 0 meV/atom. As for the formation energy: 14.918 kcal/mol of atoms.

a b c (Å): 4.6949 4.6949 4.6949
angles (deg): 90.00 90.00 90.00
Closest atoms and distances in Å follow each position.
Element x y z (fractional)
Nb (0.5000, 0.5000, 0.5000)  12 Au 3.32
Au (0.5000, 0.0000, 0.0000)  2 P 2.35
Au (0.0000, 0.0000, 0.5000)  2 P 2.35
Au (0.0000, 0.5000, 0.0000)  2 P 2.35
P (0.0000, 0.0000, 0.0000)  6 Au 2.35


Entry 5:
Entry from the Alexandria database: a relaxed structure of YTc2W (GGA-PBE).

Results
Its symmetry is Imm2. As for the formation energy: 5.026 kcal/mol of atoms.

a b c (Å): 5.4764 5.4764 4.6354
angles (deg): 64.95 64.95 34.11
Closest atoms and distances in Å follow each position.
Element x y z (fractional)
W (0.5171, 0.5171, 0.4828)  6 Tc 2.69-2.83, 2 Y 2.99
Tc (0.9871, 0.9871, 0.0130)  2 Tc 2.77, 4 W 2.83, 2 Y 2.93
Tc (0.2472, 0.2472, 0.2528)  2 W 2.69, 2 Tc 2.77, 4 Y 2.82
Y (0.7487, 0.7487, 0.7513)  6 Tc 2.82-2.93, 2 W 2.99


Entry 6:
Entry from the Alexandria database: a relaxed structure of Ba2NaAu (GGA-PBE).

Results
Its symmetry is R3m. The polymorph energy (0 for the lowest one) comes out at 20 meV/atom. As for the formation energy: -8.225 kcal/mol of atoms.

a b c (Å): 4.7841 4.7841 10.1465
angles (deg): 76.36 76.36 60.00
Closest atoms and distances in Å follow each position.
Element x y z (fractional)
Au (0.6662, 0.6662, 0.0014)  6 Ba 3.29-3.30
Ba (0.0613, 0.0613, 0.8160)  3 Au 3.30
Ba (0.2718, 0.2718, 0.1846)  3 Au 3.29
Na (0.5007, 0.5007, 0.4980)  6 Ba 4.12-4.16